A plane-wave DFT calculation with PBE was carried out for Mg8Au after structural relaxation.

Geometry as POSCAR:
```
Mg8Au
1.0
-5.005 5.005 1.919
5.005 -5.005 1.919
5.005 5.005 -1.919
Mg Au
8 1
direct
0.343 0.343 0.687
0.332 0.000 0.332
0.657 0.343 0.000
0.657 0.657 0.313
0.000 0.332 0.332
0.000 0.668 0.668
0.343 0.657 0.000
0.668 0.000 0.668
0.000 0.000 0.000
```

Summary:
**Formation energy from the elements**: -0.12 eV/atom
**Raw total energy**: -1.903 eV per atom
**Crystal system**: tetragonal
**DOS at the Fermi energy**: 0.5348 states/eV/atom

---

A plane-wave DFT calculation with PBE was carried out for Mg3Au5 after structural relaxation.

Geometry as POSCAR:
```
Mg3Au5
1.0
-2.089 -6.017 4.648
6.379 2.731 -3.744
0.362 5.053 5.633
Mg Au
6 10
direct
0.731 0.676 0.936
0.245 0.745 0.222
0.857 0.685 0.520
0.185 0.357 0.520
0.176 0.231 0.936
0.810 0.310 0.846
0.739 0.910 0.652
0.410 0.239 0.652
0.151 0.048 0.258
0.548 0.651 0.258
0.681 0.384 0.161
0.884 0.181 0.161
0.268 0.768 0.583
0.730 0.230 0.473
0.393 0.699 0.914
0.199 0.893 0.914
```

Summary:
**Offset from the most stable computed form**: 0.067 eV/atom
**Formation energy from the elements**: -0.43 eV/atom
**Raw total energy**: -3.078 eV per atom
**Crystal system**: monoclinic
**DOS at the Fermi energy**: 0.3332 states/eV/atom

---

A plane-wave DFT calculation with PBE was carried out for Mg4Au after structural relaxation.

Geometry as POSCAR:
```
Mg4Au
1.0
5.587 4.301 4.445
0.831 6.760 4.805
-3.803 -6.997 -2.458
Au Mg
1 4
direct
0.000 0.000 0.000
0.250 0.750 0.500
0.411 0.411 0.000
0.589 0.589 0.000
0.750 0.250 0.500
```

Summary:
**Offset from the most stable computed form**: 0.335 eV/atom
**Formation energy from the elements**: 0.07 eV/atom
**Raw total energy**: -1.860 eV per atom
**Crystal system**: tetragonal
**DOS at the Fermi energy**: 0.3968 states/eV/atom

---

A plane-wave DFT calculation with PBE was carried out for Mg3Au13 after structural relaxation.

Geometry as POSCAR:
```
Mg3Au13
1.0
4.141 0.000 0.000
0.000 4.141 0.000
0.000 0.000 16.663
Au Mg
13 3
direct
0.500 0.500 0.371
0.000 0.500 0.000
0.500 0.000 0.000
0.500 0.000 0.503
0.000 0.000 0.625
0.000 0.500 0.246
0.000 0.000 0.378
0.500 0.500 0.878
0.000 0.500 0.503
0.500 0.000 0.246
0.500 0.000 0.750
0.000 0.500 0.750
0.500 0.500 0.123
0.000 0.000 0.872
0.500 0.500 0.626
0.000 0.000 0.127
```

Summary:
**Formation energy from the elements**: -0.30 eV/atom
**Raw total energy**: -3.263 eV per atom
**Crystal system**: tetragonal
**DOS at the Fermi energy**: 0.2523 states/eV/atom

---

A plane-wave DFT calculation with PBE was carried out for Mg5Au after structural relaxation.

Geometry as POSCAR:
```
Mg5Au
1.0
5.868 0.060 -0.022
4.961 3.134 -0.022
-8.899 -2.624 7.022
Mg Au
5 1
direct
0.757 0.757 0.060
0.450 0.450 0.401
0.339 0.339 0.662
0.634 0.634 0.289
0.154 0.154 0.758
0.000 0.000 0.997
```

Summary:
**Formation energy from the elements**: -0.20 eV/atom
**Raw total energy**: -2.076 eV per atom
**Crystal system**: monoclinic
**DOS at the Fermi energy**: 0.3087 states/eV/atom

---

A plane-wave DFT calculation with PBE was carried out for Mg3Au2 after structural relaxation.

Geometry as POSCAR:
```
Mg3Au2
1.0
4.570 0.000 0.000
-2.285 3.958 0.000
0.000 0.000 5.670
Au Mg
2 3
direct
0.333 0.667 0.836
0.667 0.333 0.164
0.667 0.333 0.653
0.333 0.667 0.347
0.000 0.000 0.000
```

Summary:
**Offset from the most stable computed form**: 0.000 eV/atom
**Formation energy from the elements**: -0.53 eV/atom
**Raw total energy**: -2.798 eV per atom
**Crystal system**: trigonal
**DOS at the Fermi energy**: 0.4596 states/eV/atom

---

A plane-wave DFT calculation with PBE was carried out for Mg5Au4 after structural relaxation.

Geometry as POSCAR:
```
Mg5Au4
1.0
8.173 0.000 0.000
-4.087 7.078 0.000
0.000 0.000 5.848
Mg Au
10 8
direct
0.333 0.667 0.500
0.709 0.709 0.750
0.000 0.709 0.250
0.291 0.000 0.750
0.291 0.291 0.250
0.667 0.333 0.500
0.667 0.333 0.000
0.333 0.667 0.000
0.000 0.291 0.750
0.709 0.000 0.250
0.379 0.379 0.750
0.000 0.379 0.250
0.621 0.000 0.750
0.379 0.000 0.250
0.621 0.621 0.250
0.000 0.000 0.500
0.000 0.000 0.000
0.000 0.621 0.750
```

Summary:
**Offset from the most stable computed form**: 0.000 eV/atom
**Formation energy from the elements**: -0.53 eV/atom
**Raw total energy**: -2.875 eV per atom
**Crystal system**: hexagonal
**DOS at the Fermi energy**: 0.3176 states/eV/atom

---

A plane-wave DFT calculation with PBE was carried out for Mg2Au3 after structural relaxation.

Geometry as POSCAR:
```
Mg2Au3
1.0
-4.939 -1.757 -6.142
7.668 -0.866 -2.379
-1.487 -5.000 6.164
Au Mg
12 8
direct
0.725 0.475 0.750
0.250 0.525 0.775
0.975 0.750 0.225
0.250 0.225 0.475
0.475 0.725 0.250
0.225 0.250 0.975
0.750 0.275 0.025
0.025 0.775 0.750
0.750 0.975 0.725
0.775 0.025 0.250
0.525 0.250 0.275
0.275 0.750 0.525
0.000 0.000 0.069
0.500 0.069 0.500
0.569 0.500 0.000
0.000 0.000 0.569
0.500 0.569 0.500
0.931 0.431 0.431
0.069 0.500 0.000
0.431 0.931 0.931
```

Summary:
**Formation energy from the elements**: -0.37 eV/atom
**Raw total energy**: -2.970 eV per atom
**Crystal system**: cubic
**DOS at the Fermi energy**: 0.2716 states/eV/atom

---

A plane-wave DFT calculation with PBE was carried out for Mg2Au13 after structural relaxation.

Geometry as POSCAR:
```
Mg2Au13
1.0
6.942 -1.046 1.544
-2.424 6.863 -0.380
1.838 -3.409 6.470
Au Mg
13 2
direct
0.662 0.199 0.124
0.536 0.739 0.077
0.338 0.801 0.876
0.092 0.311 0.818
0.555 0.421 0.601
0.445 0.579 0.399
0.738 0.067 0.467
0.937 0.525 0.719
0.262 0.933 0.533
0.000 0.000 0.000
0.464 0.261 0.923
0.063 0.475 0.281
0.908 0.689 0.182
0.199 0.136 0.338
0.801 0.864 0.662
```

Summary:
**Formation energy from the elements**: -0.17 eV/atom
**Raw total energy**: -3.221 eV per atom
**Crystal system**: triclinic
**DOS at the Fermi energy**: 0.2796 states/eV/atom

---

A plane-wave DFT calculation with PBE was carried out for Mg4Au after structural relaxation.

Geometry as POSCAR:
```
Mg4Au
1.0
-1.437 -7.179 -2.051
5.658 0.316 -5.069
3.251 -4.013 -2.323
Mg Au
4 1
direct
0.418 0.780 0.000
0.582 0.220 0.000
0.780 0.582 0.000
0.220 0.418 0.000
0.000 0.000 0.000
```

Summary:
**Offset from the most stable computed form**: 0.000 eV/atom
**Formation energy from the elements**: -0.26 eV/atom
**Raw total energy**: -2.195 eV per atom
**Crystal system**: tetragonal
**DOS at the Fermi energy**: 0.3966 states/eV/atom

---

A plane-wave DFT calculation with PBE was carried out for Mg3Au5 after structural relaxation.

Geometry as POSCAR:
```
Mg3Au5
1.0
-1.310 -3.219 -4.504
-1.313 -3.729 4.091
-4.194 1.578 0.092
Mg Au
3 5
direct
0.217 0.783 0.500
0.500 0.500 0.000
0.783 0.217 0.500
0.290 0.290 0.500
0.000 0.500 0.000
0.710 0.710 0.500
0.000 0.000 0.000
0.500 0.000 0.000
```

Summary:
**Offset from the most stable computed form**: 0.000 eV/atom
**Formation energy from the elements**: -0.50 eV/atom
**Raw total energy**: -3.145 eV per atom
**Crystal system**: orthorhombic
**DOS at the Fermi energy**: 0.2942 states/eV/atom

---

A plane-wave DFT calculation with PBE was carried out for Mg5Au after structural relaxation.

Geometry as POSCAR:
```
Mg5Au
1.0
-0.376 -3.312 0.584
8.244 1.180 2.688
-2.926 1.777 8.195
Mg Au
10 2
direct
0.319 0.641 0.460
0.319 0.641 0.040
0.121 0.226 0.250
0.500 0.000 0.000
0.500 0.000 0.500
0.078 0.153 0.750
0.681 0.359 0.540
0.922 0.847 0.250
0.879 0.774 0.750
0.681 0.359 0.960
0.749 0.494 0.250
0.251 0.506 0.750
```

Summary:
**Formation energy from the elements**: -0.23 eV/atom
**Raw total energy**: -2.104 eV per atom
**Crystal system**: monoclinic
**DOS at the Fermi energy**: 0.3591 states/eV/atom

---

A plane-wave DFT calculation with PBE was carried out for MgAu3 after structural relaxation.

Geometry as POSCAR:
```
MgAu3
1.0
-0.508 3.533 2.134
-3.807 -1.217 1.146
5.324 -4.750 5.064
Au Mg
6 2
direct
0.500 0.000 0.000
0.750 0.250 0.500
0.623 0.623 0.246
0.250 0.750 0.500
0.000 0.500 0.000
0.377 0.377 0.754
0.127 0.127 0.255
0.873 0.873 0.745
```

Summary:
**Formation energy from the elements**: -0.40 eV/atom
**Raw total energy**: -3.257 eV per atom
**Crystal system**: orthorhombic
**DOS at the Fermi energy**: 0.2512 states/eV/atom

---

A plane-wave DFT calculation with PBE was carried out for Mg7Au2 after structural relaxation.

Geometry as POSCAR:
```
Mg7Au2
1.0
-1.462 4.424 -1.134
-1.505 -3.756 -2.573
-7.254 -0.953 5.634
Mg Au
7 2
direct
0.000 0.000 0.675
0.333 0.667 0.543
0.333 0.667 0.154
0.667 0.333 0.457
0.667 0.333 0.846
0.000 0.000 0.325
0.000 0.000 0.000
0.333 0.667 0.838
0.667 0.333 0.162
```

Summary:
**Formation energy from the elements**: -0.31 eV/atom
**Raw total energy**: -2.277 eV per atom
**Crystal system**: trigonal
**DOS at the Fermi energy**: 0.2230 states/eV/atom

---

A plane-wave DFT calculation with PBE was carried out for MgAu3 after structural relaxation.

Geometry as POSCAR:
```
MgAu3
1.0
4.150 0.000 0.000
0.000 4.150 0.000
0.000 0.000 4.150
Au Mg
3 1
direct
0.500 0.500 0.000
0.000 0.500 0.500
0.500 0.000 0.500
0.000 0.000 0.000
```

Summary:
**Formation energy from the elements**: -0.39 eV/atom
**Raw total energy**: -3.250 eV per atom
**Crystal system**: cubic
**DOS at the Fermi energy**: 0.3778 states/eV/atom

---

A plane-wave DFT calculation with PBE was carried out for MgAu6 after structural relaxation.

Geometry as POSCAR:
```
MgAu6
1.0
4.073 0.000 0.000
0.000 4.073 0.000
0.000 0.000 8.173
Au Mg
6 1
direct
0.000 0.500 0.256
0.000 0.000 0.500
0.000 0.500 0.744
0.500 0.000 0.744
0.500 0.500 0.000
0.500 0.000 0.256
0.000 0.000 0.000
```

Summary:
**Offset from the most stable computed form**: 0.000 eV/atom
**Formation energy from the elements**: -0.17 eV/atom
**Raw total energy**: -3.211 eV per atom
**Crystal system**: tetragonal
**DOS at the Fermi energy**: 0.2676 states/eV/atom

---

A plane-wave DFT calculation with PBE was carried out for Mg5Au2 after structural relaxation.

Geometry as POSCAR:
```
Mg5Au2
1.0
-0.032 3.359 -4.951
-0.553 -5.704 -3.867
-6.439 1.600 4.742
Mg Au
10 4
direct
0.750 0.500 0.000
0.985 0.735 0.469
0.485 0.735 0.469
0.417 0.071 0.834
0.250 0.500 0.000
0.015 0.265 0.531
0.917 0.763 0.834
0.583 0.929 0.166
0.083 0.237 0.166
0.515 0.265 0.531
0.877 0.115 0.755
0.623 0.361 0.245
0.123 0.885 0.245
0.377 0.639 0.755
```

Summary:
**Formation energy from the elements**: -0.45 eV/atom
**Raw total energy**: -2.523 eV per atom
**Crystal system**: orthorhombic
**DOS at the Fermi energy**: 0.3761 states/eV/atom

---

A plane-wave DFT calculation with PBE was carried out for MgAu3 after structural relaxation.

Geometry as POSCAR:
```
MgAu3
1.0
5.059 0.000 0.000
0.000 5.059 0.000
0.000 0.000 5.059
Au Mg
3 1
direct
0.000 0.500 0.000
0.000 0.000 0.500
0.500 0.000 0.000
0.000 0.000 0.000
```

Summary:
**Formation energy from the elements**: 0.61 eV/atom
**Raw total energy**: -2.245 eV per atom
**Crystal system**: cubic
**DOS at the Fermi energy**: 0.3145 states/eV/atom

---

A plane-wave DFT calculation with PBE was carried out for MgAu3 after structural relaxation.

Geometry as POSCAR:
```
MgAu3
1.0
4.127 0.000 0.000
0.000 4.127 0.000
-2.064 -2.064 4.188
Mg Au
1 3
direct
0.000 0.000 0.000
0.750 0.250 0.500
0.500 0.500 0.000
0.250 0.750 0.500
```

Summary:
**Formation energy from the elements**: -0.39 eV/atom
**Raw total energy**: -3.251 eV per atom
**Crystal system**: tetragonal
**DOS at the Fermi energy**: 0.3275 states/eV/atom

---

A plane-wave DFT calculation with PBE was carried out for Mg7Au after structural relaxation.

Geometry as POSCAR:
```
Mg7Au
1.0
6.220 0.000 0.000
3.110 5.387 0.000
3.110 1.796 5.079
Mg Au
7 1
direct
0.500 0.000 0.000
0.000 0.500 0.500
0.500 0.500 0.000
0.500 0.000 0.500
0.000 0.000 0.500
0.000 0.500 0.000
0.500 0.500 0.500
0.000 0.000 0.000
```

Summary:
**Formation energy from the elements**: -0.13 eV/atom
**Raw total energy**: -1.933 eV per atom
**Crystal system**: cubic
**DOS at the Fermi energy**: 0.4363 states/eV/atom